The following is a PBE calculation of a relaxed structure of RbZnIn2S4, from the Alexandria database.

Calculated volume: 217.9 Å³ per cell
Symmetry: Fmm2 (42)
Raw formation energy: -492 kJ/mol of formula units
DOS at the Fermi energy: 2.13 states/eV per cell

abc: 7.060 6.704 6.570
angles: 64.26 58.79 56.95
Fractional coordinates of all 8 atoms:
Rb1 0.000 0.000 0.000
Zn1 0.539 0.539 0.461
In1 0.273 0.273 0.227
In2 0.773 0.773 0.727
S1 0.209 0.606 0.394
S2 0.477 0.896 0.523
S3 0.606 0.209 0.791
S4 0.896 0.477 0.104

The following is a PBE calculation of a relaxed structure of EuHoCdCu, from the Alexandria database.

Calculated volume: 100.6 Å³ per cell
Calculated formation energy: -0.1688 eV per atom
Symmetry: F-43m (216)
DOS at the Fermi energy: 5.52 states/eV per cell

abc: 5.221 5.221 5.221
angles: 60.00 60.00 60.00
Fractional coordinates of all 4 atoms:
Eu1 0.000 0.000 0.000
Ho1 0.500 0.500 0.500
Cd1 0.750 0.750 0.750
Cu1 0.250 0.250 0.250

The following is a PBE calculation of a relaxed structure of SnPd6Au3, from the Alexandria database.

Calculated volume: 333.6 Å³ per cell
Calculated formation energy: -0.2357 eV per atom
Symmetry: P2_1/m (11)
DOS at the Fermi energy: 12.40 states/eV per cell

abc: 8.678 4.185 9.220
angles: 90.00 94.97 90.00
Fractional coordinates of all 20 atoms:
Sn1 0.067 0.250 0.374
Sn2 0.933 0.750 0.626
Pd1 0.049 0.750 0.903
Pd2 0.135 0.250 0.686
Pd3 0.158 0.750 0.193
Pd4 0.234 0.750 0.498
Pd5 0.357 0.250 0.299
Pd6 0.453 0.750 0.100
Pd7 0.547 0.250 0.900
Pd8 0.643 0.750 0.701
Pd9 0.766 0.250 0.502
Pd10 0.842 0.250 0.807
Pd11 0.865 0.750 0.314
Pd12 0.951 0.250 0.097
Au1 0.250 0.250 0.998
Au2 0.344 0.750 0.799
Au3 0.447 0.250 0.599
Au4 0.553 0.750 0.401
Au5 0.656 0.250 0.201
Au6 0.750 0.750 0.002

The following is a PBE calculation of a relaxed structure of GaHgPd4, from the Alexandria database.

Calculated volume: 196.8 Å³ per cell
Calculated formation energy: -0.2785 eV per atom
Symmetry: P2_1/c (14)
DOS at the Fermi energy: 4.92 states/eV per cell

abc: 5.549 7.779 5.000
angles: 90.00 114.21 90.00
Fractional coordinates of all 12 atoms:
Ga1 0.000 0.000 0.000
Ga2 0.000 0.500 0.500
Hg1 0.500 0.000 0.500
Hg2 0.500 0.500 0.000
Pd1 0.105 0.167 0.612
Pd2 0.105 0.333 0.112
Pd3 0.365 0.656 0.425
Pd4 0.365 0.844 0.925
Pd5 0.635 0.156 0.075
Pd6 0.635 0.344 0.575
Pd7 0.895 0.667 0.888
Pd8 0.895 0.833 0.388

The following is a PBE calculation of a relaxed structure of Tl2GaPb5, from the Alexandria database.

Calculated volume: 240.8 Å³ per cell
Calculated formation energy: 0.0681 eV per atom
Symmetry: I4mm (107)
DOS at the Fermi energy: 4.49 states/eV per cell

abc: 6.816 6.816 6.816
angles: 105.99 105.99 116.68
Fractional coordinates of all 8 atoms:
Tl1 0.000 0.500 0.500
Tl2 0.500 0.000 0.500
Ga1 0.000 0.000 0.000
Pb1 0.000 0.000 0.499
Pb2 0.000 0.500 0.000
Pb3 0.499 0.499 0.000
Pb4 0.500 0.000 0.000
Pb5 0.500 0.500 0.501

The following is a PBE calculation of a relaxed structure of Ba2GaPbCl, from the Alexandria database.

Calculated volume: 220.7 Å³ per cell
Symmetry: P4/mmm (123)
Raw formation energy: -295 kJ/mol of formula units
DOS at the Fermi energy: 2.86 states/eV per cell

abc: 6.495 6.495 5.233
angles: 90.00 90.00 90.00
Fractional coordinates of all 5 atoms:
Ba1 0.000 0.500 0.000
Ba2 0.500 0.000 0.000
Ga1 0.000 0.000 0.000
Pb1 0.000 0.000 0.500
Cl1 0.500 0.500 0.500

The following is a PBE calculation of a relaxed structure of Zn6IrPd5, from the Alexandria database.

Calculated volume: 172.0 Å³ per cell
Calculated formation energy: -0.5010 eV per atom
Symmetry: P2/m (10)
DOS at the Fermi energy: 2.29 states/eV per cell

abc: 4.262 6.306 6.739
angles: 90.00 108.26 90.00
Fractional coordinates of all 12 atoms:
Zn1 0.000 0.247 0.000
Zn2 0.000 0.753 0.000
Zn3 0.335 0.248 0.671
Zn4 0.335 0.752 0.671
Zn5 0.665 0.248 0.329
Zn6 0.665 0.752 0.329
Ir1 0.500 0.000 0.000
Pd1 0.168 0.000 0.335
Pd2 0.170 0.500 0.338
Pd3 0.500 0.500 0.000
Pd4 0.830 0.500 0.662
Pd5 0.832 0.000 0.665

The following is a PBE calculation of a relaxed structure of ZrAl2Co, from the Alexandria database.

Calculated volume: 65.8 Å³ per cell
Calculated formation energy: -0.0236 eV per atom
Symmetry: R3m (160)
DOS at the Fermi energy: 3.61 states/eV per cell

abc: 9.045 9.045 9.045
angles: 18.61 18.61 18.61
Fractional coordinates of all 4 atoms:
Zr1 0.000 0.000 0.000
Al1 0.515 0.515 0.515
Al2 0.762 0.762 0.762
Co1 0.251 0.251 0.251

The following is a PBE calculation of a relaxed structure of Tb2SmHoS6, from the Alexandria database.

Calculated volume: 260.7 Å³ per cell
Symmetry: R3 (146)
Raw formation energy: -1980 kJ/mol of formula units
DOS at the Fermi energy: 0.00 states/eV per cell

abc: 7.390 7.390 7.390
angles: 56.25 56.25 56.25
Fractional coordinates of all 10 atoms:
Tb1 0.000 0.000 0.000
Tb2 0.498 0.498 0.498
Sm1 0.203 0.203 0.203
Ho1 0.700 0.700 0.700
S1 0.096 0.403 0.797
S2 0.300 0.892 0.608
S3 0.403 0.797 0.096
S4 0.608 0.300 0.892
S5 0.797 0.096 0.403
S6 0.892 0.608 0.300

The following is a PBE calculation of a relaxed structure of Na2U2ZnSe6, from the Alexandria database.

Calculated volume: 308.3 Å³ per cell
Symmetry: C2/m (12)
Raw formation energy: -1093 kJ/mol of formula units
DOS at the Fermi energy: 12.88 states/eV per cell

abc: 7.172 7.172 7.427
angles: 98.27 98.27 122.28
Fractional coordinates of all 11 atoms:
Na1 0.163 0.837 0.000
Na2 0.837 0.163 0.000
U1 0.334 0.666 0.500
U2 0.666 0.334 0.500
Zn1 0.000 0.000 0.500
Se1 0.068 0.417 0.727
Se2 0.231 0.231 0.296
Se3 0.417 0.068 0.727
Se4 0.583 0.932 0.273
Se5 0.769 0.769 0.704
Se6 0.932 0.583 0.273

The following is a PBE calculation of a relaxed structure of Na2YBiPb, from the Alexandria database.

Calculated volume: 192.9 Å³ per cell
Calculated formation energy: 0.1362 eV per atom
Symmetry: P4/mmm (123)
DOS at the Fermi energy: 4.85 states/eV per cell

abc: 5.648 5.648 6.048
angles: 90.00 90.00 90.00
Fractional coordinates of all 5 atoms:
Na1 0.000 0.500 0.000
Na2 0.500 0.000 0.000
Y1 0.000 0.000 0.500
Bi1 0.500 0.500 0.500
Pb1 0.000 0.000 0.000

The following is a PBE calculation of a relaxed structure of KSrMg2Au, from the Alexandria database.

Calculated volume: 175.6 Å³ per cell
Calculated formation energy: -0.1818 eV per atom
Symmetry: P4/mmm (123)
DOS at the Fermi energy: 3.61 states/eV per cell

abc: 5.427 5.427 5.963
angles: 90.00 90.00 90.00
Fractional coordinates of all 5 atoms:
K1 0.000 0.000 0.000
Sr1 0.500 0.500 0.000
Mg1 0.000 0.500 0.500
Mg2 0.500 0.000 0.500
Au1 0.500 0.500 0.500